No. 1
Entry from the Alexandria database: a relaxed LiPmHoEr crystal (PBE).

Values from the calculation:
As for the formation energy: 0.1670 eV per atom. The value obtained for the calculated density is 6857 kg/m3.

abc: 5.4936 5.4936 5.4936
angles: 60.00 60.00 60.00
With the nearest neighbours (Å) after each atom.
Atoms (fractional coordinates):
Er: 0.5000 0.5000 0.5000  4 Pm 3.36, 4 Ho 3.36
Ho: 0.7500 0.7500 0.7500  4 Li 3.36, 4 Er 3.36
Pm: 0.2500 0.2500 0.2500  4 Li 3.36, 4 Er 3.36
Li: 0.0000 0.0000 0.0000  4 Ho 3.36, 4 Pm 3.36

No. 2
Entry from the Alexandria database: a relaxed CaNi3 crystal (PBE).

Values from the calculation:
As for the formation energy: -0.1586 eV per atom. The value obtained for the calculated density is 6135 kg/m3.

abc: 5.0059 5.0059 16.1761
angles: 90.00 90.00 120.00
With the nearest neighbours (Å) after each atom.
Atoms (fractional coordinates):
Ni: 0.3323 0.1662 0.1289  7 Ni 2.43-2.53
Ni: 0.6677 0.8338 0.6289  7 Ni 2.43-2.53
Ni: 0.0000 0.0000 0.5000  6 Ni 2.53
Ni: 0.1662 0.8338 0.6289  7 Ni 2.43-2.53
Ni: 0.1662 0.8338 0.8711  7 Ni 2.43-2.53
Ni: 0.0000 0.0000 0.2500  6 Ni 2.43
Ni: 0.0000 0.0000 0.0000  6 Ni 2.53
Ni: 0.6677 0.8338 0.8711  7 Ni 2.43-2.53
Ni: 0.8338 0.6677 0.1289  7 Ni 2.43-2.53
Ni: 0.3333 0.6667 0.7500  6 Ni 2.44
Ni: 0.1662 0.3323 0.6289  7 Ni 2.43-2.53
Ni: 0.8338 0.6677 0.3711  7 Ni 2.43-2.53
Ni: 0.8338 0.1662 0.1289  7 Ni 2.43-2.53
Ni: 0.1662 0.3323 0.8711  7 Ni 2.43-2.53
Ni: 0.0000 0.0000 0.7500  6 Ni 2.43
Ni: 0.8338 0.1662 0.3711  7 Ni 2.43-2.53
Ni: 0.3323 0.1662 0.3711  7 Ni 2.43-2.53
Ni: 0.6667 0.3333 0.2500  6 Ni 2.44
Ca: 0.6667 0.3333 0.9599  12 Ni 2.89-3.09, 3 Ca 3.17
Ca: 0.6667 0.3333 0.5401  12 Ni 2.89-3.09, 3 Ca 3.17
Ca: 0.3333 0.6667 0.0401  12 Ni 2.89-3.09, 3 Ca 3.17
Ca: 0.3333 0.6667 0.2500  18 Ni 2.89-3.18
Ca: 0.6667 0.3333 0.7500  18 Ni 2.89-3.18
Ca: 0.3333 0.6667 0.4599  12 Ni 2.89-3.09, 3 Ca 3.17

No. 3
Entry from the Alexandria database: a relaxed TcGeAsRu crystal (PBE).

Values from the calculation:
As for the formation energy: -0.1300 eV per atom. The value obtained for the calculated density is 10082 kg/m3.

abc: 4.3221 4.3221 4.3221
angles: 60.00 60.00 60.00
With the nearest neighbours (Å) after each atom.
Atoms (fractional coordinates):
Ru: 0.2500 0.2500 0.2500  4 Ge 2.65, 4 As 2.65
As: 0.0000 0.0000 0.0000  4 Ru 2.65, 4 Tc 2.65
Tc: 0.7500 0.7500 0.7500  4 Ge 2.65, 4 As 2.65
Ge: 0.5000 0.5000 0.5000  4 Tc 2.65, 4 Ru 2.65

Repeat the third record exactly.
Entry from the Alexandria database: a relaxed TcGeAsRu crystal (PBE).

Values from the calculation:
As for the formation energy: -0.1300 eV per atom. The value obtained for the calculated density is 10082 kg/m3.

abc: 4.3221 4.3221 4.3221
angles: 60.00 60.00 60.00
With the nearest neighbours (Å) after each atom.
Atoms (fractional coordinates):
Ru: 0.2500 0.2500 0.2500  4 Ge 2.65, 4 As 2.65
As: 0.0000 0.0000 0.0000  4 Ru 2.65, 4 Tc 2.65
Tc: 0.7500 0.7500 0.7500  4 Ge 2.65, 4 As 2.65
Ge: 0.5000 0.5000 0.5000  4 Tc 2.65, 4 Ru 2.65

Question: Which formula does entry 3 have?
Answer: TcGeAsRu

Question: Among the records above, which one has the highest calculated density?
Answer: TcGeAsRu